Compound: Pa6S8N
Source: the Alexandria database
Functional: PBE-GGA
Structure: optimized geometry

As for the symmetry: R-3, No. 148. Its formation energy from raw total energies is -1.5720 eV/atom.

abc: 10.5316 10.5316 10.5316
angles: 36.93 36.93 36.93
Closest atoms and distances in Å follow each position.
Fractional positions:
Pa 0.1314 0.4496 0.7677  1 N 2.59, 5 S 2.69-2.74
Pa 0.2323 0.8686 0.5504  1 N 2.59, 5 S 2.69-2.74
Pa 0.4496 0.7677 0.1314  1 N 2.59, 5 S 2.69-2.74
Pa 0.5504 0.2323 0.8686  1 N 2.59, 5 S 2.69-2.74
Pa 0.7677 0.1314 0.4496  1 N 2.59, 5 S 2.69-2.74
Pa 0.8686 0.5504 0.2323  1 N 2.59, 5 S 2.69-2.74
S 0.0558 0.7389 0.3974  3 Pa 2.69-2.74
S 0.1667 0.1667 0.1667  6 Pa 2.72
S 0.2611 0.6026 0.9442  3 Pa 2.69-2.74
S 0.3974 0.0558 0.7389  3 Pa 2.69-2.74
S 0.6026 0.9442 0.2611  3 Pa 2.69-2.74
S 0.7389 0.3974 0.0558  3 Pa 2.69-2.74
S 0.8333 0.8333 0.8333  6 Pa 2.72
S 0.9442 0.2611 0.6026  3 Pa 2.69-2.74
N 0.5000 0.5000 0.5000  6 Pa 2.59